AsW2Cl, relaxed, DFT PBEsol; total magnetic moment = 0.0 μB/cell; polymorph energy (0 for the lowest one) = 0 meV/atom; E_form (uncorrected) = 122 kJ/mol of formula units; final energy = -8.3655 eV per atom
1.0
3.212 0.000 0.000
-1.606 4.086 0.200
0.000 -1.056 7.076
W As Cl
2 1 1
Direct
0.098 0.195 0.907
0.781 0.561 0.750
0.493 0.985 0.618
0.129 0.258 0.224